Entry 1:
# PBE-GGA BaTmHf, optimized geometry
data_BaTmHf
_cell_length_a 5.469
_cell_length_b 5.469
_cell_length_c 5.469
_cell_angle_alpha 60.00
_cell_angle_beta 60.00
_cell_angle_gamma 60.00
_space_group_name_H-M_alt 'P 1'
_space_group_IT_number 1
loop_
_space_group_symop_operation_xyz
'x,y,z'
loop_
_atom_site_label
_atom_site_fract_x
_atom_site_fract_y
_atom_site_fract_z
Hf1 0.750 0.750 0.750
Ba1 0.250 0.250 0.250
Tm1 0.000 0.000 0.000
# magnetization = 2.35 μB/cell
# ΔE to the lowest computed polymorph = 0.0 meV/atom
# space group = F-43m
# final energy = -12.61 eV per cell


Entry 2:
# PBE-GGA BaTmHf, optimized geometry
data_BaTmHf
_cell_length_a 5.271
_cell_length_b 5.271
_cell_length_c 5.271
_cell_angle_alpha 60.00
_cell_angle_beta 60.00
_cell_angle_gamma 60.00
_space_group_name_H-M_alt 'P 1'
_space_group_IT_number 1
loop_
_space_group_symop_operation_xyz
'x,y,z'
loop_
_atom_site_label
_atom_site_fract_x
_atom_site_fract_y
_atom_site_fract_z
Tm1 0.750 0.750 0.750
Ba1 0.000 0.000 0.000
Hf1 0.250 0.250 0.250
# magnetization = 0.92 μB/cell
# ΔE to the lowest computed polymorph = 180.9 meV/atom
# space group = F-43m
# final energy = -12.06 eV per cell


Entry 3:
# PBE-GGA BaHfU, optimized geometry
data_BaHfU
_cell_length_a 5.247
_cell_length_b 5.247
_cell_length_c 5.247
_cell_angle_alpha 60.00
_cell_angle_beta 60.00
_cell_angle_gamma 60.00
_space_group_name_H-M_alt 'P 1'
_space_group_IT_number 1
loop_
_space_group_symop_operation_xyz
'x,y,z'
loop_
_atom_site_label
_atom_site_fract_x
_atom_site_fract_y
_atom_site_fract_z
U1 0.000 0.000 0.000
Ba1 0.250 0.250 0.250
Hf1 0.750 0.750 0.750
# magnetization = 4.33 μB/cell
# ΔE to the lowest computed polymorph = 0.0 meV/atom
# space group = F-43m
# final energy = -18.04 eV per cell


Entry 4:
# PBE-GGA BaHfW, optimized geometry
data_BaHfW
_cell_length_a 4.806
_cell_length_b 4.806
_cell_length_c 4.806
_cell_angle_alpha 60.00
_cell_angle_beta 60.00
_cell_angle_gamma 60.00
_space_group_name_H-M_alt 'P 1'
_space_group_IT_number 1
loop_
_space_group_symop_operation_xyz
'x,y,z'
loop_
_atom_site_label
_atom_site_fract_x
_atom_site_fract_y
_atom_site_fract_z
Hf1 0.250 0.250 0.250
Ba1 0.000 0.000 0.000
W1 0.750 0.750 0.750
# magnetization = 0.46 μB/cell
# ΔE to the lowest computed polymorph = 1063.8 meV/atom
# space group = F-43m
# final energy = -17.50 eV per cell


Entry 5:
# PBE-GGA Ba2HfW, optimized geometry
data_Ba2HfW
_cell_length_a 5.430
_cell_length_b 5.430
_cell_length_c 5.430
_cell_angle_alpha 60.00
_cell_angle_beta 60.00
_cell_angle_gamma 60.00
_space_group_name_H-M_alt 'P 1'
_space_group_IT_number 1
loop_
_space_group_symop_operation_xyz
'x,y,z'
loop_
_atom_site_label
_atom_site_fract_x
_atom_site_fract_y
_atom_site_fract_z
Hf1 0.500 0.500 0.500
W1 0.750 0.750 0.750
Ba1 0.000 0.000 0.000
Ba2 0.250 0.250 0.250
# magnetization = 0.01 μB/cell
# space group = F-43m
# final energy = -21.66 eV per cell


Entry 6:
# PBE-GGA BaHfW2, optimized geometry
data_BaHfW2
_cell_length_a 4.914
_cell_length_b 4.914
_cell_length_c 4.914
_cell_angle_alpha 60.00
_cell_angle_beta 60.00
_cell_angle_gamma 60.00
_space_group_name_H-M_alt 'P 1'
_space_group_IT_number 1
loop_
_space_group_symop_operation_xyz
'x,y,z'
loop_
_atom_site_label
_atom_site_fract_x
_atom_site_fract_y
_atom_site_fract_z
Hf1 0.250 0.250 0.250
Ba1 0.500 0.500 0.500
W1 0.000 0.000 0.000
W2 0.750 0.750 0.750
# magnetization = 0.00 μB/cell
# space group = F-43m
# final energy = -32.71 eV per cell


Entry 7:
# PBE-GGA BaHfW, optimized geometry
data_BaHfW
_cell_length_a 4.871
_cell_length_b 4.871
_cell_length_c 4.871
_cell_angle_alpha 60.00
_cell_angle_beta 60.00
_cell_angle_gamma 60.00
_space_group_name_H-M_alt 'P 1'
_space_group_IT_number 1
loop_
_space_group_symop_operation_xyz
'x,y,z'
loop_
_atom_site_label
_atom_site_fract_x
_atom_site_fract_y
_atom_site_fract_z
Ba1 0.750 0.750 0.750
W1 0.500 0.500 0.500
Hf1 0.250 0.250 0.250
# magnetization = 0.00 μB/cell
# ΔE to the lowest computed polymorph = 0.0 meV/atom
# space group = F-43m
# final energy = -20.70 eV per cell


Entry 8:
# PBE-GGA Ba2YHf, optimized geometry
data_Ba2YHf
_cell_length_a 5.968
_cell_length_b 5.968
_cell_length_c 5.968
_cell_angle_alpha 60.00
_cell_angle_beta 60.00
_cell_angle_gamma 60.00
_space_group_name_H-M_alt 'P 1'
_space_group_IT_number 1
loop_
_space_group_symop_operation_xyz
'x,y,z'
loop_
_atom_site_label
_atom_site_fract_x
_atom_site_fract_y
_atom_site_fract_z
Ba1 0.000 0.000 0.000
Ba2 0.250 0.250 0.250
Y1 0.750 0.750 0.750
Hf1 0.500 0.500 0.500
# magnetization = 1.93 μB/cell
# space group = F-43m
# final energy = -17.65 eV per cell


Q: Which formula does entry 7 have?
A: BaHfW


Q: final energy of number 2 (BaTmHf)?
A: -12.06 eV per cell